A plane-wave DFT calculation with GGA-PBEsol was carried out for CoAs2SeBr after structural relaxation.

a b c (Å): 4.984 4.984 4.953
angles (deg): 90.00 90.00 90.00
Atoms (fractional coordinates):
Co  0.000  0.000  0.000
As  0.000  0.500  0.500
As  0.500  0.000  0.500
Se  0.500  0.500  0.000
Br  0.500  0.500  0.500

Space-group type: P4/mmm
M_tot (μB/cell): 2.32
Raw formation energy (eV/atom): 1.648
Total energy (eV per cell): -15.4